Here is a relaxed structure of CsCo2PbF8 from Alexandria via LeMat-Bulk. Energies are from PBE with a Hubbard U.

abc: 5.471 5.669 7.976
angles: 77.17 78.31 77.44
Atoms (fractional coordinates):
Cs1 0.000 0.000 0.000
Co1 0.467 0.456 0.212
Co2 0.533 0.544 0.788
Pb1 0.000 0.000 0.500
F1 0.199 0.686 0.743
F2 0.268 0.749 0.281
F3 0.320 0.253 0.415
F4 0.389 0.328 0.023
F5 0.611 0.672 0.977
F6 0.680 0.747 0.585
F7 0.732 0.251 0.719
F8 0.801 0.314 0.257

Calculated values
Space group: P-1, No. 2
DFT total energy: -56.08 eV/cell